Here is La2MoAsF after structural relaxation from the Alexandria database. Energies are from PBE with a Hubbard U.

```
5
Lattice="5.9479 0.0000 0.0000 0.0000 5.9479 0.0000 0.0000 0.0000 4.2966" Properties=species:S:1:pos:R:3 pbc="T T T"
La 0.0000 2.9739 0.0000
La 2.9739 0.0000 0.0000
Mo 0.0000 0.0000 2.1483
As 2.9739 2.9739 0.0000
F 2.9739 2.9739 2.1483
```

Properties
M_tot, μB/f.u.: 4.17
Uncorrected energy, eV per atom: -4.9315
Space group: P4/mmm (123)
DOS at the Fermi energy, states/eV/f.u.: 4.27